! CsAcCoO3 | Alexandria | PBE with a Hubbard U | optimized geometry; values from VASP
! magnetization	6.03	μB/cell
! final energy	-0.45215	Ry per atom
&SYSTEM
  ibrav = 0, nat = 12, ntyp = 4
/
ATOMIC_SPECIES
Cs 132.91 Cs.upf
Ac 227.00 Ac.upf
Co 58.93 Co.upf
O 16.00 O.upf
CELL_PARAMETERS angstrom
8.460 0.000 0.000
0.000 3.869 0.000
-2.062 0.000 8.339
ATOMIC_POSITIONS angstrom
Cs 1.390 0.967 1.538
Cs 5.009 2.902 6.801
Ac 0.059 0.967 5.412
Ac 6.339 2.902 2.927
Co 1.402 2.902 7.698
Co 4.996 0.967 0.641
O 0.170 2.902 3.801
O -0.378 2.902 7.008
O 2.065 0.967 7.198
O 4.333 2.902 1.141
O 6.777 0.967 1.331
O 6.228 0.967 4.538